Entry w
GGA-PBE LaTe2I, optimized geometry; symmetry = Fm-3m (225); M_tot = 0.000 μB per formula unit
1.0
-1.867 -5.058 1.813
-1.429 -0.715 5.459
-5.461 -0.664 1.447
I La Te
1 1 2
direct
0.000 0.000 0.000
0.500 0.500 0.500
0.250 0.250 0.250
0.750 0.750 0.750

Entry x
GGA-PBE LaTe2I, optimized geometry; symmetry = I-42d (122); M_tot = 0.000 μB per formula unit
1.0
5.433 0.000 0.000
0.000 5.433 0.000
2.716 2.716 11.429
Te La I
4 2 2
direct
0.783 0.125 0.250
0.967 0.625 0.250
0.875 0.033 0.750
0.375 0.217 0.750
0.000 0.000 0.000
0.750 0.250 0.500
0.500 0.500 0.000
0.250 0.750 0.500

Entry y
GGA-PBE LaTe2I, optimized geometry; symmetry = R-3m (166); M_tot = 0.000 μB per formula unit
1.0
2.206 0.000 11.344
-1.103 1.911 11.344
-1.103 -1.911 11.344
I Te La
1 2 1
direct
0.500 0.500 0.500
0.090 0.090 0.090
0.910 0.910 0.910
0.000 0.000 0.000

In order of decreasing stability: entry x, entry w, entry y.

Entry w
GGA-PBE La3TeI3, optimized geometry; symmetry = R-3 (148); M_tot = 0.000 μB per formula unit
1.0
7.759 0.000 0.000
3.880 6.720 0.000
3.880 2.240 11.533
La I Te
6 6 2
direct
0.721 0.379 0.850
0.050 0.721 0.850
0.621 0.950 0.150
0.950 0.279 0.150
0.279 0.621 0.150
0.379 0.050 0.850
0.227 0.891 0.327
0.109 0.445 0.673
0.445 0.773 0.673
0.555 0.227 0.327
0.891 0.555 0.327
0.773 0.109 0.673
0.667 0.667 0.000
0.333 0.333 0.000

Entry x
GGA-PBE La3TeI3, optimized geometry; symmetry = I4_132 (214); M_tot = 0.000 μB per formula unit
1.0
10.518 0.000 -3.719
-5.258 9.103 -3.715
-0.002 0.000 11.150
I La Te
12 12 4
direct
0.258 0.516 0.508
0.750 0.758 0.742
0.492 0.984 0.742
0.008 0.758 0.516
0.492 0.508 0.250
0.750 0.992 0.508
0.242 0.250 0.758
0.258 0.742 0.250
0.242 0.992 0.984
0.008 0.250 0.992
0.484 0.742 0.992
0.016 0.508 0.758
0.250 0.241 0.259
0.509 0.491 0.750
0.741 0.481 0.491
0.759 0.009 0.019
0.741 0.259 0.750
0.991 0.750 0.009
0.509 0.018 0.259
0.981 0.491 0.241
0.519 0.259 0.009
0.250 0.009 0.491
0.759 0.750 0.241
0.991 0.241 0.482
0.750 0.250 0.250
0.000 0.000 0.250
0.500 0.250 0.500
0.750 0.500 0.000

In order of decreasing stability: entry x, entry w.

Entry w
GGA-PBE LaTiTe2I, optimized geometry; symmetry = P4/mmm (123); M_tot = 2.224 μB per formula unit
1.0
6.157 0.000 0.000
0.000 6.157 0.000
0.000 0.000 6.127
La Te I Ti
1 2 1 1
direct
0.000 0.000 0.000
0.000 0.500 0.000
0.500 0.000 0.000
0.000 0.000 0.500
0.500 0.500 0.500

Entry x
GGA-PBE LaTiTe2I, optimized geometry; symmetry = P4/mmm (123); M_tot = 1.800 μB per formula unit
1.0
-4.109 -2.986 1.972
3.506 -2.759 3.128
-0.707 3.584 3.955
I La Ti Te
1 1 1 2
direct
0.000 0.000 0.500
0.500 0.500 0.500
0.000 0.000 0.000
0.000 0.500 0.000
0.500 0.000 0.000

In order of decreasing stability: entry x, entry w.

Entry w
GGA-PBE LaTiTeI2, optimized geometry; symmetry = P4/mmm (123); M_tot = 2.462 μB per formula unit
1.0
5.403 0.000 0.000
0.000 5.403 0.000
0.000 0.000 5.519
I La Ti Te
2 1 1 1
direct
0.500 0.000 0.000
0.000 0.500 0.000
0.500 0.500 0.500
0.000 0.000 0.000
0.000 0.000 0.500

Entry x
GGA-PBE LaTiTeI2, optimized geometry; symmetry = P4/mmm (123); M_tot = 3.000 μB per formula unit
1.0
6.220 0.000 0.000
0.000 6.220 0.000
0.000 0.000 6.211
Ti I Te La
1 2 1 1
direct
0.500 0.500 0.500
0.500 0.000 0.000
0.000 0.500 0.000
0.000 0.000 0.500
0.000 0.000 0.000

In order of decreasing stability: entry w, entry x.